Record 1
{"formula": "HoTmBr", "functional": "PBE", "state": "relaxed", "relative_energy_mev_per_atom": 17.7, "dft_energy_ev_per_cell": -25.6, "sg": "C2/m", "dos_ef_per_ev_cell": 3.87, "formation_energy_uncorrected_ev_per_atom": -0.70, "lattice_angstrom": [[3.9503, 3.0656, -2.8107], [2.2423, 6.1634, -1.8346], [-14.5157, -16.5296, 20.1157]], "species": ["Tm", "Tm", "Ho", "Ho", "Br", "Br"], "fractional_positions": [[0.4579, 0.6345, 0.7685], [0.5421, 0.3655, 0.2315], [0.3356, 0.9539, 0.4079], [0.6644, 0.0461, 0.5921], [0.5969, 0.7062, 0.9107], [0.4031, 0.2938, 0.0893]]}

Record 2
{"formula": "TiAgPd", "functional": "PBE", "state": "relaxed", "relative_energy_mev_per_atom": 109.0, "dft_energy_ev_per_cell": -16.6, "sg": "P3m1", "dos_ef_per_ev_cell": 2.54, "ef_ev_per_atom": -0.216, "lattice_angstrom": [[-2.0590, -1.0865, 1.5565], [-2.2553, -1.0723, -3.7318], [2.8977, -2.9255, 1.7909]], "species": ["Pd", "Ag", "Ti"], "fractional_positions": [[0.9340, 0.0000, 0.0000], [0.3383, 0.6667, 0.3333], [0.7277, 0.3333, 0.6667]]}

Record 3
{"formula": "Tb3Cd9Ag2", "functional": "PBE", "state": "relaxed", "dft_energy_ev_per_cell": -31.0, "sg": "Immm", "dos_ef_per_ev_cell": 7.82, "ef_ev_per_atom": -0.224, "lattice_angstrom": [[4.6427, 0.0000, 1.2470], [1.8878, 8.1235, 2.2377], [0.1707, -0.2134, 8.6306]], "species": ["Tb", "Tb", "Tb", "Cd", "Cd", "Cd", "Cd", "Cd", "Cd", "Cd", "Cd", "Cd", "Ag", "Ag"], "fractional_positions": [[0.0000, 0.0000, 0.0000], [0.7116, 0.2884, 0.2884], [0.2884, 0.7116, 0.7116], [0.0000, 0.5000, 0.5000], [0.6364, 0.9946, 0.7325], [0.3636, 0.0054, 0.2675], [0.6364, 0.7325, 0.9946], [0.3636, 0.2675, 0.0054], [0.8570, 0.8651, 0.4209], [0.1430, 0.1349, 0.5791], [0.8570, 0.4209, 0.8651], [0.1430, 0.5791, 0.1349], [0.5000, 0.3483, 0.6517], [0.5000, 0.6517, 0.3483]]}